The following is a SCAN calculation of a crystal of Li3CuB3O7 relaxed with PBEsol, from Alexandria.

Cell lengths 3.2683, 8.7944, 9.4450 Å; angles 84.22, 88.29, 85.46 degrees
Sites, in units of the cell vectors:
Li1 0.0141 0.0923 0.1371
Li2 0.0307 0.7467 0.4565
Li3 0.4847 0.9738 0.3665
Li4 0.5153 0.0262 0.6335
Li5 0.9693 0.2533 0.5435
Li6 0.9859 0.9077 0.8629
Cu1 0.4038 0.3406 0.0372
Cu2 0.5962 0.6594 0.9628
B1 0.0655 0.2084 0.8036
B2 0.2317 0.4859 0.7502
B3 0.4436 0.7470 0.6633
B4 0.5564 0.2530 0.3367
B5 0.7683 0.5141 0.2498
B6 0.9345 0.7916 0.1964
O1 0.0218 0.9085 0.2709
O2 0.0918 0.3510 0.7142
O3 0.1259 0.1940 0.9467
O4 0.2585 0.6079 0.6466
O5 0.3421 0.4987 0.8844
O6 0.4802 0.2028 0.2073
O7 0.4888 0.1663 0.4604
O8 0.5112 0.8337 0.5396
O9 0.5198 0.7972 0.7927
O10 0.6579 0.5013 0.1156
O11 0.7415 0.3921 0.3534
O12 0.8741 0.8060 0.0533
O13 0.9082 0.6490 0.2858
O14 0.9782 0.0915 0.7291

Results
**Uncorrected energy**: -241.426 eV/cell
**ΔE_f (raw)**: -223.55 kJ per mole of atoms
**Symmetry**: P-1 (2)

The following is a SCAN calculation of a crystal of InFe2Au relaxed with PBEsol, from Alexandria.

Cell lengths 5.0131, 5.0131, 4.3168 Å; angles 115.20, 115.20, 37.91 degrees
Sites, in units of the cell vectors:
In1 0.0000 0.0000 0.0000
Fe1 0.4678 0.4678 0.4677
Fe2 0.7647 0.7647 0.2646
Au1 0.2294 0.2294 0.7288

Results
**Uncorrected energy**: -138.521 eV/cell
**Symmetry**: Cm (8)

The following is a SCAN calculation of a crystal of Mn3TeBr relaxed with PBEsol, from Alexandria.

Cell lengths 4.7058, 4.7058, 4.7058 Å; angles 90.00, 90.00, 90.00 degrees
Sites, in units of the cell vectors:
Mn1 0.0000 0.0000 0.5000
Mn2 0.0000 0.5000 0.0000
Mn3 0.5000 0.0000 0.0000
Te1 0.5000 0.5000 0.5000
Br1 0.0000 0.0000 0.0000

Results
**Uncorrected energy**: -108.906 eV/cell
**ΔE to the lowest computed polymorph**: 0.062 eV/atom
**ΔE_f (raw)**: 49.60 kJ per mole of atoms
**Symmetry**: Pm-3m (221)

The following is a SCAN calculation of a crystal of LiLa2Nb8O24 relaxed with PBEsol, from Alexandria.

Cell lengths 8.8348, 8.8348, 7.7989 Å; angles 90.00, 90.00, 127.25 degrees
Sites, in units of the cell vectors:
Li1 0.0000 0.0000 0.0000
La1 0.0000 0.0000 0.5000
La2 0.5000 0.5000 0.0000
Nb1 0.1217 0.3805 0.2489
Nb2 0.1217 0.3805 0.7511
Nb3 0.3805 0.1217 0.2489
Nb4 0.3805 0.1217 0.7511
Nb5 0.6195 0.8783 0.2489
Nb6 0.6195 0.8783 0.7511
Nb7 0.8783 0.6195 0.2489
Nb8 0.8783 0.6195 0.7511
O1 0.0000 0.5000 0.2131
O2 0.0000 0.5000 0.7869
O3 0.1171 0.8829 0.2757
O4 0.1171 0.8829 0.7243
O5 0.1304 0.3963 0.5000
O6 0.1316 0.3233 0.0000
O7 0.2451 0.2451 0.2832
O8 0.2451 0.2451 0.7168
O9 0.3233 0.1316 0.0000
O10 0.3843 0.6157 0.2132
O11 0.3843 0.6157 0.7868
O12 0.3963 0.1304 0.5000
O13 0.5000 0.0000 0.2131
O14 0.5000 0.0000 0.7869
O15 0.6037 0.8696 0.5000
O16 0.6157 0.3843 0.2132
O17 0.6157 0.3843 0.7868
O18 0.6767 0.8684 0.0000
O19 0.7549 0.7549 0.2832
O20 0.7549 0.7549 0.7168
O21 0.8684 0.6767 0.0000
O22 0.8696 0.6037 0.5000
O23 0.8829 0.1171 0.2757
O24 0.8829 0.1171 0.7243

Results
**Uncorrected energy**: -601.830 eV/cell
**ΔE_f (raw)**: -271.93 kJ per mole of atoms
**Symmetry**: Cmmm (65)

The following is a SCAN calculation of a crystal of Sc2GaCuCl relaxed with PBEsol, from Alexandria.

Cell lengths 5.0175, 5.0175, 4.3272 Å; angles 90.00, 90.00, 90.00 degrees
Sites, in units of the cell vectors:
Sc1 0.0000 0.5000 0.0000
Sc2 0.5000 0.0000 0.0000
Ga1 0.0000 0.0000 0.5000
Cu1 0.0000 0.0000 0.0000
Cl1 0.5000 0.5000 0.5000

Results
**Uncorrected energy**: -69.175 eV/cell
**ΔE_f (raw)**: -22.72 kJ per mole of atoms
**Symmetry**: P4/mmm (123)

The following is a SCAN calculation of a crystal of MgMoAu2 relaxed with PBEsol, from Alexandria.

Cell lengths 2.8651, 2.8651, 7.9774 Å; angles 90.00, 90.00, 90.00 degrees
Sites, in units of the cell vectors:
Mg1 0.0000 0.0000 0.0000
Mo1 0.0000 0.0000 0.5000
Au1 0.5000 0.5000 0.2519
Au2 0.5000 0.5000 0.7481

Results
**Uncorrected energy**: -178.905 eV/cell
**Symmetry**: P4/mmm (123)

The following is a SCAN calculation of a crystal of Y2AgAuBr relaxed with PBEsol, from Alexandria.

Cell lengths 5.3950, 5.3950, 5.0007 Å; angles 90.00, 90.00, 90.00 degrees
Sites, in units of the cell vectors:
Y1 0.0000 0.5000 0.0000
Y2 0.5000 0.0000 0.0000
Ag1 0.0000 0.0000 0.0000
Au1 0.0000 0.0000 0.5000
Br1 0.5000 0.5000 0.5000

Results
**Uncorrected energy**: -176.521 eV/cell
**ΔE_f (raw)**: -16.44 kJ per mole of atoms
**Symmetry**: P4/mmm (123)

The following is a SCAN calculation of a crystal of Ta2CrCu relaxed with PBEsol, from Alexandria.

Cell lengths 2.6904, 2.6904, 8.4182 Å; angles 90.00, 90.00, 105.52 degrees
Sites, in units of the cell vectors:
Ta1 0.0000 0.0000 0.0000
Ta2 0.5000 0.5000 0.2855
Cr1 0.0000 0.0000 0.5303
Cu1 0.5000 0.5000 0.7487

Results
**Uncorrected energy**: -165.879 eV/cell
**Symmetry**: Cmm2 (35)